# 1
# HoThPt

A relaxed structure of HoThPt (PBE, Alexandria via LeMat-Bulk).

```
data_HoThPt
_chemical_formula_sum 'Ho4 Th4 Pt4'
_cell_length_a 6.9933
_cell_length_b 6.9933
_cell_length_c 6.9933
_cell_angle_alpha 90.00
_cell_angle_beta 90.00
_cell_angle_gamma 90.00
_space_group_name_H-M_alt 'F -4 3 m'
_space_group_IT_number 216
_space_group_name_Hall 'F -4 2 3'
loop_
_atom_site_label
_atom_site_type_symbol
_atom_site_fract_x
_atom_site_fract_y
_atom_site_fract_z
Ho1 Ho 0.0000 0.0000 0.0000
Th1 Th 0.0000 0.0000 0.5000
Pt1 Pt 0.2500 0.2500 0.2500
```

Output
- N(E_F) (states/eV/cell) = 13.748
- energy above the most stable polymorph in this dataset (meV per atom) = 14
- E_form (kJ per mole of atoms) = -65.9
- total moment (μB per cell) = 0.0

=====

# 2
# CaHN2F

A relaxed structure of CaHN2F (PBE, Alexandria via LeMat-Bulk).

```
data_CaHN2F
_chemical_formula_sum 'Ca1 H1 N2 F1'
_cell_length_a 3.1324
_cell_length_b 3.1324
_cell_length_c 4.7899
_cell_angle_alpha 90.00
_cell_angle_beta 90.00
_cell_angle_gamma 90.00
_space_group_name_H-M_alt 'P 4/m m m'
_space_group_IT_number 123
_space_group_name_Hall '-P 4 2'
loop_
_atom_site_label
_atom_site_type_symbol
_atom_site_fract_x
_atom_site_fract_y
_atom_site_fract_z
Ca1 Ca 0.0000 0.0000 0.0000
H1 H 0.5000 0.5000 0.5000
N1 N 0.0000 0.5000 0.5000
F1 F 0.5000 0.5000 0.0000
```

Output
- N(E_F) (states/eV/cell) = 2.084
- energy above the most stable polymorph in this dataset (meV per atom) = 0
- total moment (μB per cell) = 0.2

=====

# 3
# Sr6Bi2P

A relaxed structure of Sr6Bi2P (PBE, Alexandria via LeMat-Bulk).

```
data_Sr6Bi2P
_chemical_formula_sum 'Sr12 Bi4 P2'
_cell_length_a 7.6464
_cell_length_b 8.8003
_cell_length_c 13.3924
_cell_angle_alpha 90.00
_cell_angle_beta 124.39
_cell_angle_gamma 90.00
_space_group_name_H-M_alt 'P 1 21/c 1'
_space_group_IT_number 14
loop_
_space_group_symop_operation_xyz
'x,y,z'
'-x,-y,-z'
'-x,y+1/2,-z+1/2'
'x,-y+1/2,z+1/2'
loop_
_atom_site_label
_atom_site_type_symbol
_atom_site_fract_x
_atom_site_fract_y
_atom_site_fract_z
Sr1 Sr 0.1199 0.1760 0.4402
Sr2 Sr 0.2773 0.6972 0.4471
Sr3 Sr 0.3597 0.0352 0.2457
Bi1 Bi 0.2118 0.1000 0.7545
P1 P 0.5000 0.0000 0.5000
```

Output
- N(E_F) (states/eV/cell) = 7.491
- E_form (kJ per mole of atoms) = -74.9
- total moment (μB per cell) = 2.0

=====

> Look up the total moment of the third one.

2.0 μB per cell

=====

Repeat the first record exactly.
# HoThPt

A relaxed structure of HoThPt (PBE, Alexandria via LeMat-Bulk).

```
data_HoThPt
_chemical_formula_sum 'Ho4 Th4 Pt4'
_cell_length_a 6.9933
_cell_length_b 6.9933
_cell_length_c 6.9933
_cell_angle_alpha 90.00
_cell_angle_beta 90.00
_cell_angle_gamma 90.00
_space_group_name_H-M_alt 'F -4 3 m'
_space_group_IT_number 216
_space_group_name_Hall 'F -4 2 3'
loop_
_atom_site_label
_atom_site_type_symbol
_atom_site_fract_x
_atom_site_fract_y
_atom_site_fract_z
Ho1 Ho 0.0000 0.0000 0.0000
Th1 Th 0.0000 0.0000 0.5000
Pt1 Pt 0.2500 0.2500 0.2500
```

Output
- N(E_F) (states/eV/cell) = 13.748
- energy above the most stable polymorph in this dataset (meV per atom) = 14
- E_form (kJ per mole of atoms) = -65.9
- total moment (μB per cell) = 0.0

=====

> N(E_F) of number 1 (HoThPt)?

13.748 states/eV/cell